[1]
VASP calculation (PBE-GGA) on crystalline Pm2SmYP4 at its relaxed geometry.

## Properties
SG = P2/m, No. 10
energy of formation from the pure elements = -1.5790 eV/atom

Lattice parameters (Å, degrees): 4.099 7.095 7.094 109.46 90.00 90.00
Fractional coordinates of all 8 atoms:
1 Pm 0.500 0.000 0.500
2 Pm 0.000 0.500 0.500
3 Sm 0.500 0.500 0.000
4 Y 0.000 0.000 0.000
5 P 0.500 0.246 0.245
6 P 0.500 0.754 0.755
7 P 0.000 0.249 0.753
8 P 0.000 0.751 0.247

[2]
VASP calculation (PBE-GGA) on crystalline PmSm2ZrP4 at its relaxed geometry.

## Properties
SG = P2/m, No. 10
energy of formation from the pure elements = -1.5006 eV/atom

Lattice parameters (Å, degrees): 4.008 6.950 6.947 109.23 90.00 90.00
Fractional coordinates of all 8 atoms:
1 Pm 0.500 0.500 0.000
2 Sm 0.500 0.000 0.500
3 Sm 0.000 0.500 0.500
4 Zr 0.000 0.000 0.000
5 P 0.500 0.234 0.235
6 P 0.500 0.766 0.765
7 P 0.000 0.240 0.758
8 P 0.000 0.760 0.242

[3]
VASP calculation (PBE-GGA) on crystalline Pm2SmZrP4 at its relaxed geometry.

## Properties
SG = P2/m, No. 10
energy of formation from the pure elements = -1.5012 eV/atom

Lattice parameters (Å, degrees): 4.013 6.957 6.960 109.23 90.00 90.00
Fractional coordinates of all 8 atoms:
1 Pm 0.500 0.000 0.500
2 Pm 0.000 0.500 0.500
3 Sm 0.500 0.500 0.000
4 Zr 0.000 0.000 0.000
5 P 0.500 0.234 0.233
6 P 0.500 0.766 0.767
7 P 0.000 0.242 0.760
8 P 0.000 0.758 0.240

[4]
VASP calculation (PBE-GGA) on crystalline Pm4Sn2P at its relaxed geometry.

## Properties
SG = P2_1/m, No. 11
energy of formation from the pure elements = -0.7487 eV/atom

Lattice parameters (Å, degrees): 6.830 6.537 9.919 90.00 110.66 90.00
Fractional coordinates of all 14 atoms:
1 Pm 0.489 0.502 0.246
2 Pm 0.057 0.750 0.867
3 Pm 0.943 0.250 0.133
4 Pm 0.489 0.998 0.246
5 Pm 0.911 0.250 0.575
6 Pm 0.511 0.002 0.754
7 Pm 0.511 0.498 0.754
8 Pm 0.089 0.750 0.425
9 Sn 0.718 0.750 0.059
10 Sn 0.282 0.250 0.941
11 Sn 0.294 0.250 0.452
12 Sn 0.706 0.750 0.548
13 P 0.131 0.750 0.159
14 P 0.869 0.250 0.841

[5]
VASP calculation (PBE-GGA) on crystalline Pm3SnP at its relaxed geometry.

## Properties
SG = Pm-3m, No. 221
energy of formation from the pure elements = -0.7629 eV/atom
ΔE to the lowest computed polymorph = 223 meV/atom

Lattice parameters (Å, degrees): 5.392 5.392 5.392 90.00 90.00 90.00
Fractional coordinates of all 5 atoms:
1 P 0.000 0.000 0.000
2 Sn 0.500 0.500 0.500
3 Pm 0.000 0.500 0.000
4 Pm 0.000 0.000 0.500
5 Pm 0.500 0.000 0.000

[6]
VASP calculation (PBE-GGA) on crystalline PmSnP at its relaxed geometry.

## Properties
SG = P3m1, No. 156
energy of formation from the pure elements = -0.5061 eV/atom
ΔE to the lowest computed polymorph = 189 meV/atom

Lattice parameters (Å, degrees): 3.949 4.661 4.661 120.00 90.00 90.00
Fractional coordinates of all 3 atoms:
1 P 0.836 0.000 0.000
2 Sn 0.831 0.667 0.333
3 Pm 0.332 0.333 0.667

[7]
VASP calculation (PBE-GGA) on crystalline PmSnP at its relaxed geometry.

## Properties
SG = I4mm, No. 107
energy of formation from the pure elements = -0.6594 eV/atom
ΔE to the lowest computed polymorph = 36 meV/atom

Lattice parameters (Å, degrees): 3.975 3.975 6.172 108.78 108.78 90.00
Fractional coordinates of all 3 atoms:
1 P 0.258 0.258 0.515
2 Sn 0.022 0.022 0.043
3 Pm 0.721 0.721 0.441

[8]
VASP calculation (PBE-GGA) on crystalline Pm5Sn3P12 at its relaxed geometry.

## Properties
SG = Ia-3d, No. 230
energy of formation from the pure elements = -0.0875 eV/atom

Lattice parameters (Å, degrees): 14.039 14.039 14.039 109.47 109.47 109.47
Fractional coordinates of all 80 atoms:
1 Sn 0.750 0.375 0.125
2 Sn 0.875 0.750 0.125
3 Sn 0.375 0.750 0.625
4 Sn 0.250 0.125 0.375
5 Sn 0.875 0.125 0.250
6 Sn 0.375 0.625 0.250
7 Sn 0.625 0.375 0.750
8 Sn 0.125 0.875 0.750
9 Sn 0.750 0.875 0.625
10 Sn 0.625 0.250 0.375
11 Sn 0.125 0.250 0.875
12 Sn 0.250 0.625 0.875
13 Pm 0.125 0.375 0.250
14 Pm 0.000 0.500 0.000
15 Pm 0.000 0.000 0.000
16 Pm 0.375 0.250 0.125
17 Pm 0.500 0.000 0.500
18 Pm 0.500 0.500 0.000
19 Pm 0.125 0.750 0.375
20 Pm 0.750 0.125 0.875
21 Pm 0.750 0.625 0.375
22 Pm 0.375 0.125 0.750
23 Pm 0.625 0.875 0.250
24 Pm 0.500 0.500 0.500
25 Pm 0.500 0.000 0.000
26 Pm 0.000 0.000 0.500
27 Pm 0.250 0.375 0.625
28 Pm 0.250 0.875 0.125
29 Pm 0.000 0.500 0.500
30 Pm 0.875 0.250 0.625
31 Pm 0.625 0.750 0.875
32 Pm 0.875 0.625 0.750
33 P 0.761 0.161 0.085
34 P 0.324 0.585 0.423
35 P 0.915 0.339 0.239
36 P 0.585 0.261 0.161
37 P 0.600 0.761 0.676
38 P 0.915 0.577 0.176
39 P 0.324 0.739 0.400
40 P 0.077 0.900 0.161
41 P 0.577 0.915 0.676
42 P 0.761 0.600 0.176
43 P 0.739 0.415 0.339
44 P 0.824 0.923 0.085
45 P 0.161 0.761 0.585
46 P 0.339 0.423 0.100
47 P 0.100 0.923 0.339
48 P 0.400 0.161 0.577
49 P 0.100 0.176 0.261
50 P 0.415 0.676 0.077
51 P 0.824 0.900 0.239
52 P 0.161 0.400 0.077
53 P 0.339 0.915 0.739
54 P 0.577 0.661 0.400
55 P 0.923 0.824 0.585
56 P 0.739 0.324 0.900
57 P 0.423 0.339 0.600
58 P 0.077 0.176 0.415
59 P 0.261 0.676 0.100
60 P 0.176 0.100 0.761
61 P 0.661 0.085 0.261
62 P 0.839 0.600 0.923
63 P 0.585 0.324 0.923
64 P 0.600 0.839 0.423
65 P 0.900 0.824 0.739
66 P 0.900 0.077 0.661
67 P 0.839 0.239 0.415
68 P 0.176 0.077 0.915
69 P 0.661 0.577 0.900
70 P 0.423 0.085 0.324
71 P 0.239 0.400 0.824
72 P 0.261 0.585 0.661
73 P 0.923 0.100 0.839
74 P 0.676 0.261 0.600
75 P 0.415 0.739 0.839
76 P 0.085 0.423 0.824
77 P 0.400 0.239 0.324
78 P 0.085 0.661 0.761
79 P 0.676 0.415 0.577
80 P 0.239 0.839 0.915

[9]
VASP calculation (PBE-GGA) on crystalline Pm3SnP at its relaxed geometry.

## Properties
SG = Pnma, No. 62
energy of formation from the pure elements = -0.9864 eV/atom
ΔE to the lowest computed polymorph = 0 meV/atom

Lattice parameters (Å, degrees): 4.307 8.721 15.301 90.00 90.00 90.00
Site moments in Bohr magnetons follow the coordinates.
Fractional coordinates of all 20 atoms:
1 Pm 0.250 0.344 0.517  0.05
2 Pm 0.750 0.816 0.215  0.09
3 Pm 0.750 0.522 0.892  0.11
4 Pm 0.750 0.022 0.608  0.11
5 Pm 0.750 0.656 0.483  0.05
6 Pm 0.250 0.978 0.392  0.11
7 Pm 0.250 0.844 0.983  0.05
8 Pm 0.750 0.316 0.285  0.09
9 Pm 0.250 0.684 0.715  0.09
10 Pm 0.250 0.184 0.785  0.09
11 Pm 0.750 0.156 0.017  0.05
12 Pm 0.250 0.478 0.108  0.11
13 Sn 0.750 0.905 0.822  -0.01
14 Sn 0.250 0.095 0.178  -0.01
15 Sn 0.750 0.405 0.678  -0.01
16 Sn 0.250 0.595 0.322  -0.01
17 P 0.250 0.327 0.945  -0.01
18 P 0.250 0.827 0.555  -0.01
19 P 0.750 0.173 0.445  -0.01
20 P 0.750 0.673 0.055  -0.01

[10]
VASP calculation (PBE-GGA) on crystalline PmSn2P at its relaxed geometry.

## Properties
SG = P4/mmm, No. 123
energy of formation from the pure elements = -0.4388 eV/atom

Lattice parameters (Å, degrees): 5.207 4.317 4.317 90.00 90.00 90.00
Fractional coordinates of all 4 atoms:
1 P 0.500 0.500 0.500
2 Sn 0.000 0.000 0.500
3 Sn 0.000 0.500 0.000
4 Pm 0.500 0.000 0.000

[11]
VASP calculation (PBE-GGA) on crystalline PmSnP at its relaxed geometry.

## Properties
SG = C2/m, No. 12
energy of formation from the pure elements = -0.6950 eV/atom
ΔE to the lowest computed polymorph = 0 meV/atom

Lattice parameters (Å, degrees): 4.017 5.340 8.567 76.82 90.00 112.10
Fractional coordinates of all 6 atoms:
1 Pm 0.109 0.219 0.174
2 Pm 0.891 0.781 0.826
3 Sn 0.352 0.704 0.391
4 Sn 0.648 0.296 0.609
5 P 0.183 0.365 0.834
6 P 0.817 0.635 0.166

[12]
VASP calculation (PBE-GGA) on crystalline Pm6SnTe3P2 at its relaxed geometry.

## Properties
SG = C2/m, No. 12
E_form (uncorrected) = -16.90 eV per formula unit

Lattice parameters (Å, degrees): 4.311 8.859 9.828 104.41 102.67 90.00
Fractional coordinates of all 12 atoms:
1 Pm 0.333 0.888 0.665
2 Pm 0.676 0.564 0.351
3 Pm 0.667 0.112 0.335
4 Pm 0.011 0.251 0.022
5 Pm 0.989 0.749 0.978
6 Pm 0.324 0.436 0.649
7 Sn 0.500 0.000 0.000
8 Te 0.500 0.500 0.000
9 Te 0.836 0.168 0.673
10 Te 0.164 0.832 0.327
11 P 0.831 0.663 0.662
12 P 0.169 0.337 0.338

[13]
VASP calculation (PBE-GGA) on crystalline Pm4SnTe2P at its relaxed geometry.

## Properties
SG = P2/m, No. 10
E_form (uncorrected) = -10.61 eV per formula unit

Lattice parameters (Å, degrees): 4.367 7.599 7.702 109.04 90.00 90.00
Fractional coordinates of all 8 atoms:
1 Pm 0.500 0.230 0.222
2 Pm 0.500 0.770 0.778
3 Pm 0.000 0.245 0.768
4 Pm 0.000 0.755 0.232
5 Sn 0.500 0.500 0.000
6 Te 0.500 0.000 0.500
7 Te 0.000 0.500 0.500
8 P 0.000 0.000 0.000

[14]
VASP calculation (PBE-GGA) on crystalline SrPmP2 at its relaxed geometry.

## Properties
SG = P4/mmm, No. 123
energy of formation from the pure elements = -0.8797 eV/atom
ΔE to the lowest computed polymorph = 255 meV/atom

Lattice parameters (Å, degrees): 3.208 5.403 5.403 90.00 90.00 90.00
Fractional coordinates of all 4 atoms:
1 Sr 0.500 0.500 0.500
2 P 0.000 0.000 0.500
3 P 0.000 0.500 0.000
4 Pm 0.500 0.000 0.000

[15]
VASP calculation (PBE-GGA) on crystalline SrPmP2 at its relaxed geometry.

## Properties
SG = Fm-3m, No. 225
energy of formation from the pure elements = -0.8643 eV/atom
ΔE to the lowest computed polymorph = 270 meV/atom

Lattice parameters (Å, degrees): 5.138 5.138 5.138 60.00 60.00 60.00
Fractional coordinates of all 4 atoms:
1 Sr 0.500 0.500 0.500
2 P 0.250 0.250 0.250
3 P 0.750 0.750 0.750
4 Pm 0.000 0.000 0.000

[16]
VASP calculation (PBE-GGA) on crystalline SrPmP2 at its relaxed geometry.

## Properties
SG = R-3m, No. 166
energy of formation from the pure elements = -1.1343 eV/atom
ΔE to the lowest computed polymorph = 0 meV/atom

Lattice parameters (Å, degrees): 4.212 4.212 7.493 73.68 73.68 60.00
Fractional coordinates of all 4 atoms:
1 Sr 0.500 0.500 0.500
2 P 0.257 0.257 0.228
3 P 0.743 0.743 0.772
4 Pm 0.000 0.000 0.000

[17]
VASP calculation (PBE-GGA) on crystalline SrPmP2 at its relaxed geometry.

## Properties
SG = R3m, No. 160
energy of formation from the pure elements = -1.0586 eV/atom
ΔE to the lowest computed polymorph = 76 meV/atom

Lattice parameters (Å, degrees): 4.163 4.163 7.738 74.39 74.39 60.00
Fractional coordinates of all 4 atoms:
1 Sr 0.497 0.497 0.510
2 Pm 0.669 0.669 0.992
3 P 0.076 0.076 0.773
4 P 0.258 0.258 0.225

[18]
VASP calculation (PBE-GGA) on crystalline Sr3Pm2TaP6 at its relaxed geometry.

## Properties
SG = C2/m, No. 12
energy of formation from the pure elements = -1.0775 eV/atom

Lattice parameters (Å, degrees): 7.070 7.070 7.347 99.33 99.33 120.07
Fractional coordinates of all 12 atoms:
1 Sr 0.172 0.828 0.500
2 Sr 0.828 0.172 0.500
3 Sr 0.500 0.500 0.500
4 Pm 0.334 0.666 0.000
5 Pm 0.666 0.334 0.000
6 Ta 0.000 0.000 0.000
7 P 0.928 0.624 0.784
8 P 0.771 0.771 0.217
9 P 0.072 0.376 0.216
10 P 0.624 0.928 0.784
11 P 0.229 0.229 0.783
12 P 0.376 0.072 0.216

[19]
VASP calculation (PBE-GGA) on crystalline SrPm2ThP4 at its relaxed geometry.

## Properties
SG = P2/m, No. 10
energy of formation from the pure elements = -1.4380 eV/atom

Lattice parameters (Å, degrees): 4.194 7.256 7.257 70.85 90.00 90.00
Fractional coordinates of all 8 atoms:
1 Sr 0.500 0.500 0.000
2 Pm 0.000 0.000 0.000
3 Pm 0.500 0.000 0.500
4 Th 0.000 0.500 0.500
5 P 0.000 0.758 0.736
6 P 0.000 0.242 0.264
7 P 0.500 0.752 0.258
8 P 0.500 0.248 0.742

[20]
VASP calculation (PBE-GGA) on crystalline Sr2PmUP4 at its relaxed geometry.

## Properties
SG = P2/m, No. 10
energy of formation from the pure elements = -1.1706 eV/atom

Lattice parameters (Å, degrees): 4.189 7.208 7.350 109.02 90.00 90.00
Site moments in Bohr magnetons follow the coordinates.
Fractional coordinates of all 8 atoms:
1 Sr 0.500 0.000 0.500  -0.01
2 Sr 0.000 0.500 0.500  -0.01
3 Pm 0.500 0.500 0.000  -0.01
4 U 0.000 0.000 0.000  1.27
5 P 0.500 0.224 0.213  -0.04
6 P 0.500 0.776 0.787  -0.04
7 P 0.000 0.242 0.781  -0.03
8 P 0.000 0.758 0.219  -0.03